# Ba6Na3PtAu2 PBE relaxed
# D(E_F), states/eV/cell: 18.18
# Total magnetization, μB/f.u.: 0.00
data_Ba6Na3PtAu2
_chemical_formula_sum 'Ba12 Na6 Pt2 Au4'
_symmetry_space_group_name_H-M 'C 1 2/m 1'
_symmetry_Int_Tables_number 12
_cell_length_a 8.2247
_cell_length_b 14.0346
_cell_length_c 10.2401
_cell_angle_alpha 90.00
_cell_angle_beta 104.34
_cell_angle_gamma 90.00
loop_
_symmetry_equiv_pos_as_xyz
'x,y,z'
'-x,-y,-z'
'-x,y,-z'
'x,-y,z'
'x+1/2,y+1/2,z'
'-x+1/2,-y+1/2,-z'
'-x+1/2,y+1/2,-z'
'x+1/2,-y+1/2,z'
loop_
_atom_site_label
_atom_site_type_symbol
_atom_site_fract_x
_atom_site_fract_y
_atom_site_fract_z
Ba1 Ba 0.2159 0.1603 0.1762
Ba2 Ba 0.2387 0.5000 0.1827
Na1 Na 0.0000 0.1855 0.5000
Na2 Na 0.0000 0.5000 0.5000
Pt1 Pt 0.0000 0.0000 0.0000
Au1 Au 0.0000 0.3351 0.0000

# Rb2BaNaAu PBE relaxed
# D(E_F), states/eV/cell: 4.83
# Total magnetization, μB/f.u.: 0.00
data_Rb2BaNaAu
_chemical_formula_sum 'Rb2 Ba1 Na1 Au1'
_symmetry_space_group_name_H-M 'P 4/m m m'
_symmetry_Int_Tables_number 123
_symmetry_space_group_name_Hall '-P 4 2'
_cell_length_a 6.7641
_cell_length_b 6.7641
_cell_length_c 6.4626
_cell_angle_alpha 90.00
_cell_angle_beta 90.00
_cell_angle_gamma 90.00
loop_
_atom_site_label
_atom_site_type_symbol
_atom_site_fract_x
_atom_site_fract_y
_atom_site_fract_z
Rb1 Rb 0.0000 0.5000 0.0000
Ba1 Ba 0.0000 0.0000 0.5000
Na1 Na 0.5000 0.5000 0.5000
Au1 Au 0.0000 0.0000 0.0000

# Ba8NaRhAu2 PBE relaxed
# D(E_F), states/eV/cell: 9.67
# Total magnetization, μB/f.u.: 0.00
data_Ba8NaRhAu2
_chemical_formula_sum 'Ba8 Na1 Rh1 Au2'
_symmetry_space_group_name_H-M 'P -1'
_symmetry_Int_Tables_number 2
_cell_length_a 7.7287
_cell_length_b 7.9928
_cell_length_c 9.8438
_cell_angle_alpha 89.95
_cell_angle_beta 89.91
_cell_angle_gamma 88.89
loop_
_symmetry_equiv_pos_as_xyz
'x,y,z'
'-x,-y,-z'
loop_
_atom_site_label
_atom_site_type_symbol
_atom_site_fract_x
_atom_site_fract_y
_atom_site_fract_z
Ba1 Ba 0.2238 0.1368 0.9995
Ba2 Ba 0.2537 0.1846 0.4997
Ba3 Ba 0.2592 0.6679 0.7158
Ba4 Ba 0.2599 0.6688 0.2845
Na1 Na 0.5000 0.5000 0.0000
Rh1 Rh 0.5000 0.5000 0.5000
Au1 Au 0.0001 0.0002 0.2607

# Ba6Na3RhAu2 PBE relaxed
# D(E_F), states/eV/cell: 16.52
# Total magnetization, μB/f.u.: 0.00
data_Ba6Na3RhAu2
_chemical_formula_sum 'Ba12 Na6 Rh2 Au4'
_symmetry_space_group_name_H-M 'C 1 2/m 1'
_symmetry_Int_Tables_number 12
_cell_length_a 8.1230
_cell_length_b 13.8487
_cell_length_c 10.3705
_cell_angle_alpha 90.00
_cell_angle_beta 103.80
_cell_angle_gamma 90.00
loop_
_symmetry_equiv_pos_as_xyz
'x,y,z'
'-x,-y,-z'
'-x,y,-z'
'x,-y,z'
'x+1/2,y+1/2,z'
'-x+1/2,-y+1/2,-z'
'-x+1/2,y+1/2,-z'
'x+1/2,-y+1/2,z'
loop_
_atom_site_label
_atom_site_type_symbol
_atom_site_fract_x
_atom_site_fract_y
_atom_site_fract_z
Ba1 Ba 0.2111 0.1577 0.1728
Ba2 Ba 0.2434 0.5000 0.1811
Na1 Na 0.0000 0.1908 0.5000
Na2 Na 0.0000 0.5000 0.5000
Rh1 Rh 0.0000 0.0000 0.0000
Au1 Au 0.0000 0.3361 0.0000

# BaNaAuS2 PBE relaxed
# D(E_F), states/eV/cell: 0.00
# Total magnetization, μB/f.u.: 0.00
data_BaNaAuS2
_chemical_formula_sum 'Ba2 Na2 Au2 S4'
_symmetry_space_group_name_H-M 'P 1 2/c 1'
_symmetry_Int_Tables_number 13
_cell_length_a 7.1755
_cell_length_b 4.9689
_cell_length_c 8.0133
_cell_angle_alpha 90.00
_cell_angle_beta 103.71
_cell_angle_gamma 90.00
loop_
_symmetry_equiv_pos_as_xyz
'x,y,z'
'-x,-y,-z'
'-x,y,-z+1/2'
'x,-y,z+1/2'
loop_
_atom_site_label
_atom_site_type_symbol
_atom_site_fract_x
_atom_site_fract_y
_atom_site_fract_z
Ba1 Ba 0.0000 0.2104 0.2500
Na1 Na 0.5000 0.4724 0.7500
Au1 Au 0.5000 0.0000 0.0000
S1 S 0.2338 0.2835 0.9587

# Ba2NaAuS PBE relaxed
# D(E_F), states/eV/cell: 1.65
# Total magnetization, μB/f.u.: 0.00
data_Ba2NaAuS
_chemical_formula_sum 'Ba2 Na1 Au1 S1'
_symmetry_space_group_name_H-M 'P 4/m m m'
_symmetry_Int_Tables_number 123
_symmetry_space_group_name_Hall '-P 4 2'
_cell_length_a 6.2711
_cell_length_b 6.2711
_cell_length_c 4.8758
_cell_angle_alpha 90.00
_cell_angle_beta 90.00
_cell_angle_gamma 90.00
loop_
_atom_site_label
_atom_site_type_symbol
_atom_site_fract_x
_atom_site_fract_y
_atom_site_fract_z
Ba1 Ba 0.0000 0.5000 0.0000
Na1 Na 0.0000 0.0000 0.0000
Au1 Au 0.0000 0.0000 0.5000
S1 S 0.5000 0.5000 0.5000

# BaNa2Sb2Au PBE relaxed
# D(E_F), states/eV/cell: 4.39
# Total magnetization, μB/f.u.: 0.00
data_BaNa2Sb2Au
_chemical_formula_sum 'Ba2 Na4 Sb4 Au2'
_symmetry_space_group_name_H-M 'I 4/m m m'
_symmetry_Int_Tables_number 139
_symmetry_space_group_name_Hall '-I 4 2'
_cell_length_a 6.0274
_cell_length_b 6.0274
_cell_length_c 12.1501
_cell_angle_alpha 90.00
_cell_angle_beta 90.00
_cell_angle_gamma 90.00
loop_
_atom_site_label
_atom_site_type_symbol
_atom_site_fract_x
_atom_site_fract_y
_atom_site_fract_z
Ba1 Ba 0.0000 0.0000 0.0000
Na1 Na 0.0000 0.5000 0.2500
Sb1 Sb 0.0000 0.0000 0.2882
Au1 Au 0.0000 0.0000 0.5000

# BaNaAuSe2 PBE relaxed
# D(E_F), states/eV/cell: 0.00
# Total magnetization, μB/f.u.: 0.00
data_BaNaAuSe2
_chemical_formula_sum 'Ba4 Na4 Au4 Se8'
_symmetry_space_group_name_H-M 'C m m e'
_symmetry_Int_Tables_number 67
_symmetry_space_group_name_Hall '-C 2a 2'
_cell_length_a 6.4616
_cell_length_b 14.9778
_cell_length_c 5.7773
_cell_angle_alpha 90.00
_cell_angle_beta 90.00
_cell_angle_gamma 90.00
loop_
_atom_site_label
_atom_site_type_symbol
_atom_site_fract_x
_atom_site_fract_y
_atom_site_fract_z
Ba1 Ba 0.0000 0.2500 0.2383
Na1 Na 0.2500 0.0000 0.5000
Au1 Au 0.0000 0.0000 0.0000
Se1 Se 0.0000 0.1347 0.7495

# Ba2NaSi3Au12 PBE relaxed
# D(E_F), states/eV/cell: 23.61
# Total magnetization, μB/f.u.: 0.00
data_Ba2NaSi3Au12
_chemical_formula_sum 'Ba6 Na3 Si9 Au36'
_symmetry_space_group_name_H-M 'R -3 m'
_symmetry_Int_Tables_number 166
_symmetry_space_group_name_Hall '-R 3 2"'
_cell_length_a 8.9943
_cell_length_b 8.9943
_cell_length_c 19.3155
_cell_angle_alpha 90.00
_cell_angle_beta 90.00
_cell_angle_gamma 120.00
loop_
_atom_site_label
_atom_site_type_symbol
_atom_site_fract_x
_atom_site_fract_y
_atom_site_fract_z
Ba1 Ba 0.0000 0.0000 0.1081
Na1 Na 0.0000 0.0000 0.5000
Si1 Si 0.0000 0.5000 0.0000
Au1 Au 0.0000 0.5000 0.1270
Au2 Au 0.0388 0.5194 0.3349

# BaNaSi2Au5 PBE relaxed
# D(E_F), states/eV/cell: 3.07
# Total magnetization, μB/f.u.: 0.00
data_BaNaSi2Au5
_chemical_formula_sum 'Ba1 Na1 Si2 Au5'
_symmetry_space_group_name_H-M 'P 4/m m m'
_symmetry_Int_Tables_number 123
_symmetry_space_group_name_Hall '-P 4 2'
_cell_length_a 4.7731
_cell_length_b 4.7731
_cell_length_c 9.7654
_cell_angle_alpha 90.00
_cell_angle_beta 90.00
_cell_angle_gamma 90.00
loop_
_atom_site_label
_atom_site_type_symbol
_atom_site_fract_x
_atom_site_fract_y
_atom_site_fract_z
Ba1 Ba 0.0000 0.0000 0.0000
Na1 Na 0.0000 0.0000 0.5000
Si1 Si 0.5000 0.5000 0.2490
Au1 Au 0.0000 0.5000 0.3001
Au2 Au 0.5000 0.5000 0.0000

# BaNaSn2Au2 PBE relaxed
# D(E_F), states/eV/cell: 2.02
# Total magnetization, μB/f.u.: 0.00
data_BaNaSn2Au2
_chemical_formula_sum 'Ba1 Na1 Sn2 Au2'
_symmetry_space_group_name_H-M 'P -3 m 1'
_symmetry_Int_Tables_number 164
_symmetry_space_group_name_Hall '-P 3 2"'
_cell_length_a 4.8611
_cell_length_b 4.8611
_cell_length_c 7.9373
_cell_angle_alpha 90.00
_cell_angle_beta 90.00
_cell_angle_gamma 120.00
loop_
_atom_site_label
_atom_site_type_symbol
_atom_site_fract_x
_atom_site_fract_y
_atom_site_fract_z
Ba1 Ba 0.0000 0.0000 0.0000
Na1 Na 0.0000 0.0000 0.5000
Sn1 Sn 0.3333 0.6667 0.3083
Au1 Au 0.3333 0.6667 0.6925

# BaNa2Sn2Au PBE relaxed
# D(E_F), states/eV/cell: 6.61
# Total magnetization, μB/f.u.: 0.00
data_BaNa2Sn2Au
_chemical_formula_sum 'Ba2 Na4 Sn4 Au2'
_symmetry_space_group_name_H-M 'I 4/m m m'
_symmetry_Int_Tables_number 139
_symmetry_space_group_name_Hall '-I 4 2'
_cell_length_a 5.9076
_cell_length_b 5.9076
_cell_length_c 12.3840
_cell_angle_alpha 90.00
_cell_angle_beta 90.00
_cell_angle_gamma 90.00
loop_
_atom_site_label
_atom_site_type_symbol
_atom_site_fract_x
_atom_site_fract_y
_atom_site_fract_z
Ba1 Ba 0.0000 0.0000 0.0000
Na1 Na 0.0000 0.5000 0.2500
Sn1 Sn 0.0000 0.0000 0.2874
Au1 Au 0.0000 0.0000 0.5000

Electronic total energy readings, ordered: -65.58 -9.03 -33.87 -65.75 -42.02 -13.45 -36.33 -76.91 -189.92 -33.64 -20.99 -33.59 eV for the cell shown